Material: TbPmY2Ho6
Method: DFT, PBE
State: optimized geometry

Values from the calculation:
Calculated formation energy: 0.128 eV/atom

abc: 8.770 8.770 9.522
angles: 93.72 93.72 117.45
Fractional coordinates of all 20 atoms:
1 Tb 0.027 0.973 0.750
2 Tb 0.973 0.027 0.250
3 Pm 0.408 0.592 0.250
4 Pm 0.592 0.408 0.750
5 Y 0.195 0.298 0.545
6 Y 0.298 0.195 0.045
7 Y 0.702 0.805 0.955
8 Y 0.805 0.702 0.455
9 Ho 0.023 0.570 0.683
10 Ho 0.121 0.752 0.057
11 Ho 0.248 0.879 0.443
12 Ho 0.292 0.510 0.881
13 Ho 0.430 0.977 0.817
14 Ho 0.490 0.708 0.619
15 Ho 0.510 0.292 0.381
16 Ho 0.570 0.023 0.183
17 Ho 0.708 0.490 0.119
18 Ho 0.752 0.121 0.557
19 Ho 0.879 0.248 0.943
20 Ho 0.977 0.430 0.317

***

Material: CrCoHg
Method: DFT, PBE
State: optimized geometry

Values from the calculation:
Energy relative to the lowest polymorph listed for this composition: 314 meV per atom
Calculated formation energy: 0.722 eV/atom

abc: 4.215 4.215 4.215
angles: 60.00 60.00 60.00
Fractional coordinates of all 3 atoms:
1 Cr 0.000 0.000 0.000
2 Co 0.250 0.250 0.250
3 Hg 0.500 0.500 0.500

***

Material: La3PuO7
Method: DFT, PBE
State: optimized geometry

Values from the calculation:
Formation energy without anion corrections: -36.8 eV per formula unit

abc: 6.867 6.867 8.048
angles: 90.00 90.00 110.01
Fractional coordinates of all 22 atoms:
1 La 0.000 0.000 0.000
2 La 0.000 0.000 0.500
3 La 0.031 0.501 0.750
4 La 0.499 0.969 0.750
5 La 0.501 0.031 0.250
6 La 0.969 0.499 0.250
7 Pu 0.500 0.500 0.000
8 Pu 0.500 0.500 0.500
9 O 0.129 0.871 0.250
10 O 0.135 0.865 0.750
11 O 0.176 0.421 0.028
12 O 0.176 0.421 0.472
13 O 0.421 0.176 0.528
14 O 0.421 0.176 0.972
15 O 0.422 0.578 0.750
16 O 0.578 0.422 0.250
17 O 0.579 0.824 0.028
18 O 0.579 0.824 0.472
19 O 0.824 0.579 0.528
20 O 0.824 0.579 0.972
21 O 0.865 0.135 0.250
22 O 0.871 0.129 0.750

***

Material: Ba4TeMo
Method: DFT, PBE
State: optimized geometry

Values from the calculation:
Formation energy without anion corrections: 4.4 eV per formula unit

abc: 7.212 7.212 7.212
angles: 60.00 60.00 60.00
Fractional coordinates of all 6 atoms:
1 Ba 0.125 0.125 0.125
2 Ba 0.125 0.125 0.624
3 Ba 0.125 0.624 0.125
4 Ba 0.624 0.125 0.125
5 Te 0.500 0.500 0.500
6 Mo 0.750 0.750 0.750

***

| no. | magnetization (Bohr magnetons per cell) | DOS(E_F) (states/eV/f.u.) |
| --- | --- | --- |
| 1 | 0.000 | 15.0 |
| 2 | 2.708 | 5.1 |
| 3 | 6.000 | 6.6 |
| 4 | 2.934 | 6.4 |